GaAgO2, optimized geometry, DFT GGA-PBE; D(E_F) = 0.045 states/eV/atom; energy relative to the elements, uncorrected = -1.16 eV/atom; space group = I-42d (122)
1.0
5.159 0.000 0.000
0.000 5.159 0.000
0.000 0.000 8.492
Ga Ag O
4 4 8
Direct
0.000 0.000 0.000 Ga
0.000 0.500 0.250 Ga
0.500 0.000 0.750 Ga
0.500 0.500 0.500 Ga
0.000 0.000 0.500 Ag
0.000 0.500 0.750 Ag
0.500 0.000 0.250 Ag
0.500 0.500 0.000 Ag
0.163 0.250 0.125 O
0.250 0.663 0.375 O
0.250 0.837 0.875 O
0.337 0.250 0.625 O
0.663 0.750 0.625 O
0.750 0.163 0.875 O
0.750 0.337 0.375 O
0.837 0.750 0.125 O